Record 1
{
  "formula": "Cu5Ag4",
  "functional": "PBE-GGA",
  "state": "relaxed",
  "e_form_kj_per_mol_fu": 67,
  "relative_energy_kj_per_mol_fu": 32,
  "lattice_angstrom": [[-1.4116, 1.7473, 13.3145], [1.4116, -1.7473, 13.3145], [1.4116, 1.7473, -13.3145]],
  "species": ["Cu", "Cu", "Cu", "Cu", "Cu", "Ag", "Ag", "Ag", "Ag"],
  "fractional_positions": [[0.0000, 0.0000, 0.0000], [0.0934, 0.0934, 0.0000], [0.3416, 0.3416, 0.0000], [0.5467, 0.5467, 0.0000], [0.8871, 0.8871, 0.0000], [0.2174, 0.2174, 0.0000], [0.4440, 0.4440, 0.0000], [0.6503, 0.6503, 0.0000], [0.7845, 0.7845, 0.0000]]
}


Record 2
{
  "formula": "Tb2InGa5",
  "functional": "PBE-GGA",
  "state": "relaxed",
  "m_tot_mub_per_cell": 0.0,
  "energy_ev_per_atom": -3.8776,
  "lattice_angstrom": [[4.6556, 0.0000, 0.0000], [0.0000, 3.1992, 5.5015], [0.0000, -3.1992, 5.5015]],
  "species": ["Tb", "Tb", "In", "Ga", "Ga", "Ga", "Ga", "Ga"],
  "fractional_positions": [[0.0000, 0.0000, 0.0000], [0.5000, 0.3259, 0.3259], [0.5000, 0.8124, 0.8124], [0.0000, 0.5038, 0.9595], [0.0000, 0.5130, 0.5130], [0.0000, 0.9595, 0.5038], [0.5000, 0.3572, 0.8056], [0.5000, 0.8056, 0.3572]]
}


Record 3
{
  "formula": "BaUIr",
  "functional": "PBE-GGA",
  "state": "relaxed",
  "m_tot_mub_per_cell": 2.9,
  "relative_energy_kj_per_mol_fu": 0,
  "lattice_angstrom": [[0.0000, 3.5473, 3.5473], [3.5473, 0.0000, 3.5473], [3.5473, 3.5473, 0.0000]],
  "species": ["Ba", "U", "Ir"],
  "fractional_positions": [[0.0000, 0.0000, 0.0000], [0.5000, 0.5000, 0.5000], [0.7500, 0.7500, 0.7500]]
}


Record 4
{
  "formula": "SrGa2Ir2",
  "functional": "PBE-GGA",
  "state": "relaxed",
  "m_tot_mub_per_cell": 0.0,
  "energy_ev_per_atom": -5.6067,
  "lattice_angstrom": [[-2.1599, 2.1599, 5.2882], [2.1599, -2.1599, 5.2882], [2.1599, 2.1599, -5.2882]],
  "species": ["Sr", "Ga", "Ga", "Ir", "Ir"],
  "fractional_positions": [[0.0000, 0.0000, 0.0000], [0.2500, 0.7500, 0.5000], [0.7500, 0.2500, 0.5000], [0.3820, 0.3820, 0.0000], [0.6180, 0.6180, 0.0000]]
}


What is the formula in the first record?
Cu5Ag4